SmGdZnGa | GGA-PBE | optimized geometry

Properties
- space-group type = F-43m
- E_form (meV per atom) = -469

Unit cell a=5.139 b=5.139 c=5.139 alpha=60.00 beta=60.00 gamma=60.00
Each line ends with the local moment (μB).
Fractional coordinates of all 4 atoms:
Zn (0.750, 0.750, 0.750)  0.03
Gd (0.500, 0.500, 0.500)  7.17
Ga (0.250, 0.250, 0.250)  -0.02
Sm (0.000, 0.000, 0.000)  0.15



La2Zn3CuPd4 | GGA-PBE | optimized geometry

Properties
- space-group type = P-4m2
- E_form (meV per atom) = -590

Unit cell a=4.238 b=4.238 c=10.880 alpha=90.00 beta=90.00 gamma=90.00
Fractional coordinates of all 10 atoms:
La (0.500, 0.000, 0.253)
La (0.000, 0.500, 0.747)
Zn (0.000, 0.000, 0.500)
Zn (0.500, 0.000, 0.869)
Zn (0.000, 0.500, 0.131)
Cu (0.500, 0.500, 0.500)
Pd (0.500, 0.500, 0.000)
Pd (0.000, 0.000, 0.000)
Pd (0.500, 0.000, 0.637)
Pd (0.000, 0.500, 0.363)



AcSmPtAu | GGA-PBE | optimized geometry

Properties
- energy above the most stable polymorph in this dataset (meV per atom) = 0
- space-group type = Amm2
- E_form (meV per atom) = -959

Unit cell a=4.023 b=4.807 c=5.939 alpha=90.00 beta=109.80 gamma=90.00
Fractional coordinates of all 4 atoms:
Ac (0.139, 0.000, 0.279)
Sm (0.865, 0.500, 0.731)
Pt (0.411, 0.000, 0.822)
Au (0.584, 0.500, 0.168)



InPb2F11 | GGA-PBE | optimized geometry

Properties
- space-group type = Ibam
- calculated total energy (eV/atom) = -4.1721

Unit cell a=7.993 b=8.306 c=8.306 alpha=74.55 beta=61.24 gamma=61.24
Fractional coordinates of all 28 atoms:
In (0.750, 0.750, 0.750)
In (0.250, 0.250, 0.250)
Pb (0.646, 0.683, 0.317)
Pb (0.354, 0.317, 0.683)
Pb (0.854, 0.183, 0.817)
Pb (0.146, 0.817, 0.183)
F (0.642, 0.703, 0.571)
F (0.358, 0.297, 0.429)
F (0.085, 0.571, 0.703)
F (0.858, 0.929, 0.797)
F (0.915, 0.429, 0.297)
F (0.142, 0.071, 0.203)
F (0.415, 0.797, 0.929)
F (0.585, 0.203, 0.071)
F (0.500, 0.500, 0.500)
F (0.000, 0.000, 0.000)
F (0.875, 0.791, 0.209)
F (0.125, 0.209, 0.791)
F (0.625, 0.291, 0.709)
F (0.375, 0.709, 0.291)
F (0.451, 0.970, 0.328)
F (0.549, 0.030, 0.672)
F (0.251, 0.328, 0.970)
F (0.049, 0.172, 0.530)
F (0.749, 0.672, 0.030)
F (0.951, 0.828, 0.470)
F (0.249, 0.530, 0.172)
F (0.751, 0.470, 0.828)